Entry 1:
First-principles (GGA-PBE) data for an optimized crystal structure of K5Cd12In2, as listed in Alexandria.

Properties
M_tot: 0.00 μB/atom
raw total energy: -45.39 eV per cell
crystal system: monoclinic
N(E_F): 17.9 states/eV/cell
E_form: -0.04 eV per atom

abc: 19.5281 7.8786 7.6301
angles: 90.00 92.52 90.00
Last column: nearest neighbours and their distance in Å.
Space group C2/m (No. 12)
Symmetry-distinct sites (fractional):
K  0.0000  0.0000  0.0000  10 Cd 3.43-3.72
K  0.2088  0.5000  0.5387  7 Cd 3.51-3.87, 1 K 3.79
K  0.2428  0.0000  0.9376  9 Cd 3.64-3.84, 4 K 3.79-4.07
Cd  0.0424  0.5000  0.1755  7 Cd 3.00-3.25, 2 In 3.12
Cd  0.1034  0.0000  0.6026  4 Cd 3.08-3.11, 2 In 3.13
Cd  0.1053  0.3104  0.8483  5 Cd 2.99-3.25, 1 In 3.29
Cd  0.1281  0.1915  0.2542  4 Cd 3.00-3.25, 1 In 3.28
In  0.0000  0.2902  0.5000  8 Cd 3.12-3.29, 1 In 3.31

Entry 2:
First-principles (GGA-PBE) data for an optimized crystal structure of K4Cd4In, as listed in Alexandria.

Properties
M_tot: 0.00 μB/atom
raw total energy: -21.98 eV per cell
crystal system: tetragonal
N(E_F): 8.0 states/eV/cell
E_form: -0.02 eV per atom

abc: 10.1402 10.1402 6.7258
angles: 90.00 90.00 90.00
Last column: nearest neighbours and their distance in Å.
Space group P4_2/n (No. 86, origin choice 2)
Symmetry-distinct sites (fractional):
K  0.0691  0.8377  0.1141  1 In 3.48, 5 Cd 3.71-3.84, 1 K 3.89
Cd  0.0922  0.1678  0.3905  1 In 3.02, 2 Cd 3.17
In  0.2500  0.2500  0.7500  4 Cd 3.02

Entry 3:
First-principles (GGA-PBE) data for an optimized crystal structure of K2CdIn7, as listed in Alexandria.

Properties
M_tot: 0.00 μB/atom
raw total energy: -23.36 eV per cell
crystal system: tetragonal
N(E_F): 5.7 states/eV/cell
E_form: -0.11 eV per atom

abc: 4.9364 4.9364 12.7028
angles: 90.00 90.00 90.00
Last column: nearest neighbours and their distance in Å.
Space group P-4m2 (No. 115)
Symmetry-distinct sites (fractional):
K  0.0000  0.5000  0.2485  14 In 3.78-4.04, 2 Cd 4.01
Cd  0.5000  0.5000  0.0000  4 In 3.00
In  0.0000  0.0000  0.0000  4 In 3.00
In  0.0000  0.0000  0.5000  4 In 3.03
In  0.0000  0.5000  0.6378  5 In 2.89-3.03
In  0.0000  0.5000  0.8655  3 In 2.89-3.00, 2 Cd 3.00
In  0.5000  0.5000  0.5000  4 In 3.03

Entry 4:
First-principles (GGA-PBE) data for an optimized crystal structure of KCd10In, as listed in Alexandria.

Properties
M_tot: 0.00 μB/atom
raw total energy: -12.89 eV per cell
crystal system: orthorhombic
N(E_F): 4.7 states/eV/cell
E_form: 0.01 eV per atom

abc: 4.8610 6.2239 10.4883
angles: 90.00 90.00 90.00
Last column: nearest neighbours and their distance in Å.
Space group Pmmm (No. 47)
Symmetry-distinct sites (fractional):
K  0.0000  0.0000  0.0000  18 Cd 3.58-3.95
Cd  0.0000  0.0000  0.3416  6 Cd 2.94-3.03
Cd  0.0000  0.5000  0.1804  6 Cd 2.99-3.08
Cd  0.5000  0.0000  0.5000  8 Cd 2.94-3.03
Cd  0.5000  0.2474  0.2507  8 Cd 2.99-3.14
Cd  0.5000  0.5000  0.0000  8 Cd 3.06-3.08
In  0.0000  0.5000  0.5000  6 Cd 3.35-3.53

Entry 5:
First-principles (GGA-PBE) data for an optimized crystal structure of KCd2In10, as listed in Alexandria.

Properties
M_tot: 0.00 μB/atom
raw total energy: -122.12 eV per cell
crystal system: orthorhombic
N(E_F): 19.5 states/eV/cell
E_form: -0.02 eV per atom

abc: 6.1275 15.2370 15.7794
angles: 90.00 90.00 90.00
Last column: nearest neighbours and their distance in Å.
Space group Fmmm (No. 69)
Symmetry-distinct sites (fractional):
K  0.0000  0.0000  0.0000  16 In 3.86-4.11, 4 Cd 4.23
Cd  0.2500  0.0000  0.2500  2 Cd 3.06, 8 In 3.14-3.29
In  0.0000  0.1051  0.3913  2 Cd 3.14, 8 In 3.19-3.51
In  0.0000  0.1768  0.1802  7 In 3.13-3.51, 2 Cd 3.29
In  0.2500  0.2500  0.0000  10 In 3.06-3.42

Entry 6:
First-principles (GGA-PBE) data for an optimized crystal structure of K3Cd8In3, as listed in Alexandria.

Properties
M_tot: 0.00 μB/atom
raw total energy: -40.10 eV per cell
crystal system: orthorhombic
N(E_F): 11.8 states/eV/cell
E_form: -0.09 eV per atom

abc: 5.2266 10.1601 15.3029
angles: 90.00 90.00 90.00
Last column: nearest neighbours and their distance in Å.
Space group Immm (No. 71)
Symmetry-distinct sites (fractional):
K  0.0000  0.0000  0.0000  12 Cd 3.65-3.92
K  0.0000  0.0000  0.2944  12 Cd 3.52-3.76, 2 In 3.67
Cd  0.0000  0.2897  0.1415  3 Cd 3.02-3.04, 1 In 3.04
Cd  0.0000  0.3550  0.3353  4 Cd 2.95-3.04, 1 In 3.05
In  0.0000  0.1868  0.5000  6 Cd 3.05-3.40, 2 In 3.23
In  0.0000  0.5000  0.0000  4 Cd 3.04, 4 In 3.23

Entry 7:
First-principles (GGA-PBE) data for an optimized crystal structure of KCdIn2, as listed in Alexandria.

Properties
M_tot: 0.00 μB/atom
raw total energy: -7.64 eV per cell
crystal system: monoclinic
N(E_F): 1.4 states/eV/cell
E_form: -0.04 eV per atom

abc: 3.4340 4.9927 7.3278
angles: 90.00 103.50 90.00
Last column: nearest neighbours and their distance in Å.
Space group Pm (No. 6)
Symmetry-distinct sites (fractional):
K  0.0000  0.0000  0.0000  2 K 3.43, 4 Cd 3.56-3.57, 5 In 3.61-3.74
Cd  0.6274  0.5000  0.2639  2 In 2.99
In  0.3503  0.5000  0.6932  6 In 3.34-3.43, 2 Cd 3.49-3.52, 2 K 3.73
In  0.7554  0.0000  0.4940  2 Cd 2.99, 2 In 3.34

Entry 8:
First-principles (GGA-PBE) data for an optimized crystal structure of K5CdIn4, as listed in Alexandria.

Properties
M_tot: 0.00 μB/atom
raw total energy: -35.99 eV per cell
crystal system: monoclinic
N(E_F): 14.2 states/eV/cell
E_form: -0.06 eV per atom

abc: 21.6926 4.8785 9.2337
angles: 90.00 111.86 90.00
Last column: nearest neighbours and their distance in Å.
Space group C2/m (No. 12)
Symmetry-distinct sites (fractional):
K  0.0000  0.0000  0.0000  6 In 3.86-3.87
K  0.1478  0.5000  0.5038  4 In 3.67-3.76, 2 Cd 4.02
K  0.1932  0.5000  0.0928  4 In 3.60-3.89
Cd  0.0000  0.0000  0.5000  6 In 2.99-3.06
In  0.0342  0.5000  0.7150  2 In 3.03, 2 Cd 3.06
In  0.1238  0.0000  0.7880  1 Cd 2.99, 2 In 3.03